NaNbTeO, optimized geometry, DFT PBE-GGA; space group = No. 26; relative energy among the computed polymorphs = 0.000 eV/atom; calculated volume = 20.929 Å³/atom; theoretical density = 5.147 g/cm3
1.0
3.639 0.000 0.000
0.000 7.567 0.000
0.000 0.000 6.080
Na Nb Te O
2 2 2 2
direct
0.000 0.143 0.000
0.000 0.857 0.500
0.500 0.497 0.256
0.500 0.503 0.756
0.000 0.274 0.503
0.000 0.726 0.003
0.500 0.318 0.003
0.500 0.682 0.503

Na2NbTeO6, optimized geometry, DFT PBE-GGA; space group = No. 14; calculated volume = 11.803 Å³/atom; VASP energy = -6.340 eV per atom; theoretical density = 5.100 g/cm3
1.0
5.451 0.000 0.000
0.000 5.558 0.000
-5.444 0.000 7.792
Na Nb Te O
4 2 2 12
direct
0.240 0.043 0.250
0.240 0.457 0.750
0.760 0.543 0.250
0.760 0.957 0.750
0.000 0.000 0.500
0.000 0.500 0.000
0.500 0.000 0.000
0.500 0.500 0.500
0.150 0.203 0.952
0.150 0.297 0.452
0.251 0.702 0.952
0.251 0.798 0.452
0.341 0.026 0.749
0.341 0.474 0.249
0.659 0.526 0.751
0.659 0.974 0.251
0.749 0.202 0.548
0.749 0.298 0.048
0.850 0.703 0.548
0.850 0.797 0.048

NaNbSnOs, optimized geometry, DFT PBE-GGA; space group = No. 216; relative energy among the computed polymorphs = 0.271 eV/atom; calculated volume = 17.882 Å³/atom; theoretical density = 9.863 g/cm3
1.0
0.000 3.295 3.295
3.295 0.000 3.295
3.295 3.295 0.000
Na Nb Sn Os
1 1 1 1
direct
0.000 0.000 0.000
0.500 0.500 0.500
0.250 0.250 0.250
0.750 0.750 0.750

NaNbSnOs, optimized geometry, DFT PBE-GGA; space group = No. 216; relative energy among the computed polymorphs = 0.000 eV/atom; calculated volume = 17.288 Å³/atom; theoretical density = 10.202 g/cm3
1.0
0.000 3.258 3.258
3.258 0.000 3.258
3.258 3.258 0.000
Na Nb Sn Os
1 1 1 1
direct
0.000 0.000 0.000
0.750 0.750 0.750
0.250 0.250 0.250
0.500 0.500 0.500

NaZrNbOs, optimized geometry, DFT PBE-GGA; space group = No. 216; relative energy among the computed polymorphs = 0.000 eV/atom; calculated volume = 18.051 Å³/atom; theoretical density = 9.138 g/cm3
1.0
0.000 3.305 3.305
3.305 0.000 3.305
3.305 3.305 0.000
Na Zr Nb Os
1 1 1 1
direct
0.000 0.000 0.000
0.750 0.750 0.750
0.250 0.250 0.250
0.500 0.500 0.500

NaNb2PS10, optimized geometry, DFT PBE-GGA; space group = No. 15; calculated volume = 23.426 Å³/atom; VASP energy = -5.560 eV per atom; theoretical density = 2.838 g/cm3
1.0
12.629 -4.000 0.000
12.629 4.000 0.000
-0.160 0.000 12.985
Na Nb P S
4 8 4 40
direct
0.054 0.061 0.119
0.061 0.054 0.619
0.939 0.946 0.381
0.946 0.939 0.881
0.293 0.425 0.777
0.299 0.419 0.487
0.419 0.299 0.987
0.425 0.293 0.277
0.575 0.707 0.723
0.581 0.701 0.013
0.701 0.581 0.513
0.707 0.575 0.223
0.007 0.786 0.629
0.214 0.993 0.871
0.786 0.007 0.129
0.993 0.214 0.371
0.029 0.866 0.128
0.033 0.265 0.503
0.038 0.259 0.240
0.134 0.971 0.372
0.163 0.414 0.905
0.173 0.403 0.356
0.195 0.489 0.133
0.239 0.341 0.630
0.259 0.038 0.740
0.265 0.033 0.003
0.279 0.579 0.633
0.310 0.551 0.919
0.321 0.542 0.351
0.341 0.239 0.130
0.403 0.173 0.856
0.414 0.163 0.405
0.421 0.721 0.867
0.449 0.690 0.581
0.458 0.679 0.149
0.489 0.195 0.633
0.511 0.805 0.367
0.542 0.321 0.851
0.551 0.310 0.419
0.579 0.279 0.133
0.586 0.837 0.595
0.597 0.827 0.144
0.659 0.761 0.870
0.679 0.458 0.649
0.690 0.449 0.081
0.721 0.421 0.367
0.735 0.967 0.997
0.741 0.962 0.260
0.761 0.659 0.370
0.805 0.511 0.867
0.827 0.597 0.644
0.837 0.586 0.095
0.866 0.029 0.628
0.962 0.741 0.760
0.967 0.735 0.497
0.971 0.134 0.872

Na2NbPSe4, optimized geometry, DFT PBE-GGA; space group = No. 187; calculated volume = 21.189 Å³/atom; VASP energy = -4.592 eV per atom; theoretical density = 4.758 g/cm3
1.0
3.619 0.000 0.000
-1.809 3.134 0.000
0.000 0.000 14.945
Na Nb P Se
2 1 1 4
direct
0.000 0.000 0.250
0.000 0.000 0.750
0.000 0.000 0.000
0.000 0.000 0.500
0.333 0.667 0.110
0.333 0.667 0.890
0.667 0.333 0.390
0.667 0.333 0.610

NaPaNb, optimized geometry, DFT PBE-GGA; space group = No. 216; calculated volume = 24.240 Å³/atom; VASP energy = -5.604 eV per atom; theoretical density = 7.922 g/cm3
1.0
0.000 3.313 3.313
3.313 0.000 3.313
3.313 3.313 0.000
Na Pa Nb
1 1 1
direct
0.000 0.000 0.000
0.500 0.500 0.500
0.250 0.250 0.250

NaNbPb, optimized geometry, DFT PBE-GGA; space group = No. 216; relative energy among the computed polymorphs = 0.000 eV/atom; calculated volume = 27.159 Å³/atom; theoretical density = 6.585 g/cm3
1.0
0.000 3.441 3.441
3.441 0.000 3.441
3.441 3.441 0.000
Na Nb Pb
1 1 1
direct
0.000 0.000 0.000
0.250 0.250 0.250
0.500 0.500 0.500

NaNb2PbS4, optimized geometry, DFT PBE-GGA; space group = No. 164; calculated volume = 21.601 Å³/atom; VASP energy = -6.147 eV per atom; theoretical density = 5.230 g/cm3
1.0
3.398 0.000 0.000
-1.699 2.943 0.000
0.000 0.000 17.282
Na Nb Pb S
1 2 1 4
direct
0.000 0.000 0.000
0.333 0.667 0.240
0.667 0.333 0.760
0.000 0.000 0.500
0.000 0.000 0.151
0.000 0.000 0.330
0.000 0.000 0.670
0.000 0.000 0.849

Na2Nb2Pd3, optimized geometry, DFT PBE-GGA; space group = No. 160; calculated volume = 18.381 Å³/atom; VASP energy = -5.157 eV per atom; theoretical density = 7.112 g/cm3
1.0
2.254 1.301 7.312
-2.254 1.301 7.312
0.000 -2.602 7.312
Na Nb Pd
2 2 3
direct
0.000 0.000 0.000
0.488 0.488 0.488
0.242 0.242 0.242
0.744 0.744 0.744
0.366 0.366 0.366
0.617 0.617 0.617
0.869 0.869 0.869

NaNbPd, optimized geometry, DFT PBE-GGA; space group = No. 216; relative energy among the computed polymorphs = 0.000 eV/atom; calculated volume = 20.775 Å³/atom; theoretical density = 5.923 g/cm3
1.0
0.000 3.147 3.147
3.147 0.000 3.147
3.147 3.147 0.000
Na Nb Pd
1 1 1
direct
0.000 0.000 0.000
0.500 0.500 0.500
0.250 0.250 0.250

NaNbPdSe3, optimized geometry, DFT PBE-GGA; space group = No. 63; relative energy among the computed polymorphs = 0.070 eV/atom; calculated volume = 20.987 Å³/atom; theoretical density = 6.056 g/cm3
1.0
1.783 -7.051 0.000
1.783 7.051 0.000
0.000 0.000 10.017
Na Nb Pd Se
2 2 2 6
direct
0.236 0.764 0.750
0.764 0.236 0.250
0.000 0.000 0.000
0.000 0.000 0.500
0.458 0.542 0.250
0.542 0.458 0.750
0.086 0.914 0.250
0.364 0.636 0.040
0.364 0.636 0.460
0.636 0.364 0.540
0.636 0.364 0.960
0.914 0.086 0.750

NaNbTe3Pd, optimized geometry, DFT PBE-GGA; space group = No. 11; calculated volume = 25.930 Å³/atom; VASP energy = -4.896 eV per atom; theoretical density = 6.459 g/cm3
1.0
8.366 0.000 0.000
0.000 3.819 0.000
-3.707 0.000 9.738
Na Nb Te Pd
2 2 6 2
direct
0.225 0.250 0.204
0.775 0.750 0.796
0.214 0.750 0.682
0.786 0.250 0.318
0.065 0.750 0.381
0.228 0.750 0.948
0.432 0.250 0.636
0.568 0.750 0.364
0.772 0.250 0.052
0.935 0.250 0.619
0.424 0.250 0.889
0.576 0.750 0.111

NaNbZnPd, optimized geometry, DFT PBE-GGA; space group = No. 216; relative energy among the computed polymorphs = 0.002 eV/atom; calculated volume = 17.038 Å³/atom; theoretical density = 7.011 g/cm3
1.0
0.000 3.242 3.242
3.242 0.000 3.242
3.242 3.242 0.000
Na Nb Zn Pd
1 1 1 1
direct
0.000 0.000 0.000
0.500 0.500 0.500
0.750 0.750 0.750
0.250 0.250 0.250

NaNbZnPd, optimized geometry, DFT PBE-GGA; space group = No. 216; relative energy among the computed polymorphs = 0.000 eV/atom; calculated volume = 16.308 Å³/atom; theoretical density = 7.324 g/cm3
1.0
0.000 3.195 3.195
3.195 0.000 3.195
3.195 3.195 0.000
Na Nb Zn Pd
1 1 1 1
direct
0.000 0.000 0.000
0.250 0.250 0.250
0.750 0.750 0.750
0.500 0.500 0.500

NaPrNb, optimized geometry, DFT PBE-GGA; space group = No. 216; relative energy among the computed polymorphs = 0.175 eV/atom; calculated volume = 32.479 Å³/atom; theoretical density = 4.377 g/cm3
1.0
0.000 3.652 3.652
3.652 0.000 3.652
3.652 3.652 0.000
Na Pr Nb
1 1 1
direct
0.000 0.000 0.000
0.250 0.250 0.250
0.500 0.500 0.500

NaPrNb, optimized geometry, DFT PBE-GGA; space group = No. 216; relative energy among the computed polymorphs = 0.000 eV/atom; calculated volume = 32.173 Å³/atom; theoretical density = 4.418 g/cm3
1.0
0.000 3.641 3.641
3.641 0.000 3.641
3.641 3.641 0.000
Na Pr Nb
1 1 1
direct
0.000 0.000 0.000
0.500 0.500 0.500
0.250 0.250 0.250

Na2Nb2Pt3, optimized geometry, DFT PBE-GGA; space group = No. 160; calculated volume = 18.372 Å³/atom; VASP energy = -5.864 eV per atom; theoretical density = 10.550 g/cm3
1.0
2.249 1.299 7.337
-2.249 1.299 7.337
0.000 -2.597 7.337
Na Nb Pt
2 2 3
direct
0.000 0.000 0.000
0.489 0.489 0.489
0.242 0.242 0.242
0.744 0.744 0.744
0.367 0.367 0.367
0.618 0.618 0.618
0.868 0.868 0.868

Na4NbPt2, optimized geometry, DFT PBE-GGA; space group = No. 65; calculated volume = 20.103 Å³/atom; VASP energy = -3.440 eV per atom; theoretical density = 6.785 g/cm3
1.0
4.809 -5.333 0.000
4.809 5.333 0.000
0.000 0.000 2.743
Na Nb Pt
4 1 2
direct
0.199 0.199 0.500
0.216 0.784 0.000
0.784 0.216 0.000
0.801 0.801 0.500
0.500 0.500 0.000
0.000 0.500 0.500
0.500 0.000 0.500

NaNbPtS3, optimized geometry, DFT PBE-GGA; space group = No. 11; calculated volume = 19.250 Å³/atom; VASP energy = -5.804 eV per atom; theoretical density = 5.854 g/cm3
1.0
7.528 0.000 0.000
0.000 3.522 0.000
-3.324 0.000 8.713
Na Nb Pt S
2 2 2 6
direct
0.217 0.250 0.201
0.783 0.750 0.799
0.210 0.750 0.677
0.790 0.250 0.323
0.482 0.250 0.881
0.518 0.750 0.119
0.056 0.750 0.375
0.207 0.750 0.936
0.408 0.250 0.619
0.592 0.750 0.381
0.793 0.250 0.064
0.944 0.250 0.625

NaNbPtSe3, optimized geometry, DFT PBE-GGA; space group = No. 11; calculated volume = 21.449 Å³/atom; VASP energy = -5.390 eV per atom; theoretical density = 7.069 g/cm3
1.0
7.701 0.000 0.000
0.000 3.648 0.000
-3.362 0.000 9.163
Na Nb Pt Se
2 2 2 6
direct
0.241 0.250 0.205
0.759 0.750 0.795
0.211 0.750 0.677
0.789 0.250 0.323
0.447 0.250 0.880
0.553 0.750 0.120
0.064 0.750 0.374
0.216 0.750 0.942
0.422 0.250 0.622
0.578 0.750 0.378
0.784 0.250 0.058
0.936 0.250 0.626

NaSrNbPt, optimized geometry, DFT PBE-GGA; space group = No. 216; relative energy among the computed polymorphs = 0.007 eV/atom; calculated volume = 20.721 Å³/atom; theoretical density = 7.986 g/cm3
1.0
0.000 3.461 3.461
3.461 0.000 3.461
3.461 3.461 0.000
Na Sr Nb Pt
1 1 1 1
direct
0.000 0.000 0.000
0.750 0.750 0.750
0.500 0.500 0.500
0.250 0.250 0.250

NaSrNbPt, optimized geometry, DFT PBE-GGA; space group = No. 216; relative energy among the computed polymorphs = 0.277 eV/atom; calculated volume = 24.077 Å³/atom; theoretical density = 6.873 g/cm3
1.0
0.000 3.638 3.638
3.638 0.000 3.638
3.638 3.638 0.000
Na Sr Nb Pt
1 1 1 1
direct
0.000 0.000 0.000
0.500 0.500 0.500
0.750 0.750 0.750
0.250 0.250 0.250